# 1
Density functional theory data (PBE) for a geometry-optimized Be3InRu structure.

Summary:
Uncorrected energy (eV per atom): -3.062
Density of states at the Fermi level (states/eV per cell): 4.1
Energy relative to the lowest polymorph listed for this composition (meV per atom): 1076.1
DFT formation energy (meV per atom): 1576
Total magnetization (μB per atom): 0.322

Cell: 4.3449 4.3449 4.3449 Å, 90.00 90.00 90.00°
Closest atoms and distances in Å follow each position.
Fractional coordinates of all 5 atoms:
Be: 0.0000 0.0000 0.5000  2 In 2.17
Be: 0.0000 0.5000 0.0000  2 In 2.17
Be: 0.5000 0.0000 0.0000  2 In 2.17
In: 0.0000 0.0000 0.0000  6 Be 2.17
Ru: 0.5000 0.5000 0.5000  12 Be 3.07

# 2
Density functional theory data (PBE) for a geometry-optimized Mg2V2Bi structure.

Summary:
Uncorrected energy (eV per atom): -4.868
Density of states at the Fermi level (states/eV per cell): 6.9
Energy relative to the lowest polymorph listed for this composition (meV per atom): 0.0
DFT formation energy (meV per atom): 193
Total magnetization (μB per atom): 0.158

Cell: 6.8117 4.3612 6.8284 Å, 90.00 92.69 90.00°
Closest atoms and distances in Å follow each position.
Fractional coordinates of all 10 atoms:
Mg: 0.0000 0.0000 0.0000  4 V 2.93-2.98, 2 Mg 3.01, 2 Bi 3.18
Mg: 0.0416 0.5000 0.3039  5 V 2.82-3.02, 2 Mg 3.01, 1 Bi 3.12
Mg: 0.4968 0.0000 0.8288  5 V 2.80-2.93, 2 Bi 3.09
Mg: 0.7236 0.0000 0.4039  2 V 2.89-3.11, 4 Bi 3.03, 2 Mg 3.17
V: 0.1467 0.0000 0.5962  1 V 2.17
V: 0.2288 0.5000 0.8379  1 V 2.28
V: 0.3035 0.0000 0.3261  1 V 2.17
V: 0.3957 0.5000 0.5567  1 V 2.28
Bi: 0.5362 0.5000 0.1497  4 V 2.92-2.98, 4 Mg 3.03-3.09
Bi: 0.8298 0.5000 0.6986  4 V 2.84-3.17, 3 Mg 3.03-3.12

# 3
Density functional theory data (PBE) for a geometry-optimized YHo2Tm6 structure.

Summary:
Uncorrected energy (eV per atom): -4.552
Density of states at the Fermi level (states/eV per cell): 18.1
Energy relative to the lowest polymorph listed for this composition (meV per atom): 58.4
DFT formation energy (meV per atom): 165
Total magnetization (μB per atom): 0.002

Cell: 3.5534 3.5534 31.6319 Å, 90.00 90.00 120.00°
Closest atoms and distances in Å follow each position.
Fractional coordinates of all 9 atoms:
Y: 0.0000 0.0000 0.0000  6 Tm 3.48, 6 Y 3.55
Ho: 0.3333 0.6667 0.2648  6 Tm 3.42-3.48, 6 Ho 3.55
Ho: 0.3333 0.6667 0.7352  6 Tm 3.42-3.48, 6 Ho 3.55
Tm: 0.0000 0.0000 0.1761  9 Tm 3.44-3.55, 3 Ho 3.48
Tm: 0.0000 0.0000 0.3514  3 Ho 3.42, 6 Tm 3.55
Tm: 0.0000 0.0000 0.6486  3 Ho 3.42, 6 Tm 3.55
Tm: 0.0000 0.0000 0.8239  9 Tm 3.44-3.55, 3 Ho 3.48
Tm: 0.3333 0.6667 0.0890  9 Tm 3.44-3.55, 3 Y 3.48
Tm: 0.3333 0.6667 0.9110  9 Tm 3.44-3.55, 3 Y 3.48

Question: Which of these has the highest uncorrected energy?
Answer: Be3InRu